1.
Density functional theory data (PBE) for a relaxed TbY2Tl3Se6 crystal.

a b c (Å): 7.2652 7.2652 8.1398
angles (deg): 98.57 98.57 119.99
Element x y z (fractional)
Tb  0.0000  0.0000  0.0000
Y  0.3334  0.6666  0.0000
Y  0.6666  0.3334  0.0000
Tl  0.1666  0.8334  0.5000
Tl  0.5000  0.5000  0.5000
Tl  0.8334  0.1666  0.5000
Se  0.0683  0.4022  0.2049
Se  0.2657  0.2657  0.7953
Se  0.4022  0.0683  0.2049
Se  0.5978  0.9317  0.7951
Se  0.7343  0.7343  0.2047
Se  0.9317  0.5978  0.7951

Results
As for the total DFT energy (no corrections): -5.19 eV per atom. For the energy relative to the elements, uncorrected, the calculation gives -1394 meV/atom.

---

2.
Density functional theory data (PBE) for a relaxed Tb2YTl3Se6 crystal.

a b c (Å): 7.2732 7.2732 8.1413
angles (deg): 98.57 98.57 119.99
Element x y z (fractional)
Tb  0.1666  0.8334  0.0000
Tb  0.8334  0.1666  0.0000
Y  0.5000  0.5000  0.0000
Tl  0.0000  0.0000  0.5000
Tl  0.3330  0.6670  0.5000
Tl  0.6670  0.3330  0.5000
Se  0.0990  0.4317  0.7952
Se  0.2357  0.2357  0.2051
Se  0.4317  0.0990  0.7952
Se  0.5683  0.9010  0.2048
Se  0.7643  0.7643  0.7949
Se  0.9010  0.5683  0.2048

Results
As for the total DFT energy (no corrections): -5.04 eV per atom. For the energy relative to the elements, uncorrected, the calculation gives -1392 meV/atom.

---

3.
Density functional theory data (PBE) for a relaxed Tb3Tl3ZnSe8 crystal.

a b c (Å): 8.2875 8.2875 8.9067
angles (deg): 117.84 117.84 60.00
Element x y z (fractional)
Tb  0.0000  0.0000  0.0000
Tb  0.0000  0.5000  0.0000
Tb  0.5000  0.0000  0.0000
Tl  0.0000  0.5000  0.5000
Tl  0.5000  0.0000  0.5000
Tl  0.5000  0.5000  0.5000
Zn  0.5000  0.5000  0.0000
Se  0.2376  0.2376  0.2124
Se  0.2499  0.7261  0.2018
Se  0.2739  0.7501  0.7982
Se  0.2752  0.2752  0.7993
Se  0.7248  0.7248  0.2007
Se  0.7261  0.2499  0.2018
Se  0.7501  0.2739  0.7982
Se  0.7624  0.7624  0.7876

Results
As for the total DFT energy (no corrections): -4.39 eV per atom. For the energy relative to the elements, uncorrected, the calculation gives -1052 meV/atom. The calculation puts the density of states at the Fermi level at 0.91 states/eV per atom.

---

4.
Density functional theory data (PBE) for a relaxed Tb2Tl3ZnSe6 crystal.

a b c (Å): 7.1765 7.1765 7.8715
angles (deg): 98.98 98.98 119.83
Element x y z (fractional)
Tb  0.1651  0.8349  0.0000
Tb  0.8349  0.1651  0.0000
Tl  0.0000  0.0000  0.5000
Tl  0.3273  0.6727  0.5000
Tl  0.6727  0.3273  0.5000
Zn  0.5000  0.5000  0.0000
Se  0.1159  0.4327  0.7986
Se  0.2460  0.2460  0.2127
Se  0.4327  0.1159  0.7986
Se  0.5673  0.8841  0.2014
Se  0.7540  0.7540  0.7873
Se  0.8841  0.5673  0.2014

Results
As for the total DFT energy (no corrections): -4.20 eV per atom. For the energy relative to the elements, uncorrected, the calculation gives -989 meV/atom. The calculation puts the density of states at the Fermi level at 0.49 states/eV per atom.

---

5.
Density functional theory data (PBE) for a relaxed Tb2ZrTl3Se6 crystal.

a b c (Å): 7.0671 7.0671 8.2146
angles (deg): 98.26 98.26 119.98
Element x y z (fractional)
Tb  0.1660  0.8340  0.0000
Tb  0.8340  0.1660  0.0000
Zr  0.5000  0.5000  0.0000
Tl  0.0000  0.0000  0.5000
Tl  0.3286  0.6714  0.5000
Tl  0.6714  0.3286  0.5000
Se  0.1125  0.4324  0.7964
Se  0.2497  0.2497  0.2078
Se  0.4324  0.1125  0.7964
Se  0.5676  0.8875  0.2036
Se  0.7503  0.7503  0.7922
Se  0.8875  0.5676  0.2036

Results
As for the total DFT energy (no corrections): -5.04 eV per atom. For the energy relative to the elements, uncorrected, the calculation gives -1221 meV/atom. The calculation puts the density of states at the Fermi level at 0.44 states/eV per atom.

---

6.
Density functional theory data (PBE) for a relaxed Tb2ZrTl2Se6 crystal.

a b c (Å): 7.0497 7.0497 8.2002
angles (deg): 98.50 98.50 119.79
Element x y z (fractional)
Tb  0.1675  0.8325  0.0000
Tb  0.8325  0.1675  0.0000
Zr  0.5000  0.5000  0.0000
Tl  0.3306  0.6694  0.5000
Tl  0.6694  0.3306  0.5000
Se  0.1133  0.4297  0.7985
Se  0.2527  0.2527  0.2021
Se  0.4297  0.1133  0.7985
Se  0.5703  0.8867  0.2015
Se  0.7473  0.7473  0.7979
Se  0.8867  0.5703  0.2015

Results
As for the total DFT energy (no corrections): -5.32 eV per atom. For the energy relative to the elements, uncorrected, the calculation gives -1371 meV/atom.

---

7.
Density functional theory data (PBE) for a relaxed Tb3ZrTl4Se8 crystal.

a b c (Å): 9.1541 9.1541 9.1541
angles (deg): 53.52 53.52 53.52
Element x y z (fractional)
Tb  0.0000  0.5000  0.5000
Tb  0.5000  0.0000  0.5000
Tb  0.5000  0.5000  0.0000
Zr  0.0000  0.0000  0.0000
Tl  0.0000  0.0000  0.5000
Tl  0.0000  0.5000  0.0000
Tl  0.5000  0.0000  0.0000
Tl  0.5000  0.5000  0.5000
Se  0.2283  0.2283  0.7471
Se  0.2283  0.7471  0.2283
Se  0.2529  0.7717  0.7717
Se  0.2640  0.2640  0.2640
Se  0.7360  0.7360  0.7360
Se  0.7471  0.2283  0.2283
Se  0.7717  0.2529  0.7717
Se  0.7717  0.7717  0.2529

Results
As for the total DFT energy (no corrections): -5.00 eV per atom. For the energy relative to the elements, uncorrected, the calculation gives -1262 meV/atom. The calculation puts the density of states at the Fermi level at 0.29 states/eV per atom.

---

8.
Density functional theory data (PBE) for a relaxed TbTmSe2 crystal.

a b c (Å): 7.4894 7.4894 7.4894
angles (deg): 30.42 30.42 30.42
Element x y z (fractional)
Tb  0.0000  0.0000  0.0000
Tm  0.1765  0.1765  0.1765
Se  0.4223  0.4223  0.4223
Se  0.5876  0.5876  0.5876

Results
As for the total DFT energy (no corrections): -5.72 eV per atom. For the energy relative to the elements, uncorrected, the calculation gives -1706 meV/atom. The calculation puts the density of states at the Fermi level at 0.28 states/eV per atom. The energy above the most stable polymorph in this dataset is 0.0123 eV/atom.

---

> total DFT energy (no corrections) of number 3 (Tb3Tl3ZnSe8)?

-4.39 eV per atom

---

> What is the formula in the third record?

Tb3Tl3ZnSe8